PuCrPb2O6 | Alexandria | GGA+U | optimized geometry; final energy = -0.571 Ry/atom; ρ = 9.516 g/cm3; calculated volume = 14.1 Å³ per atom
1.0
5.955 0.000 0.050
0.000 5.848 0.000
0.123 0.000 8.083
Pu O Pb Cr
2 12 4 2
Direct
0.000 0.500 0.000
0.500 0.000 0.500
0.261 0.756 0.046
0.241 0.742 0.454
0.259 0.242 0.046
0.567 0.000 0.247
0.761 0.744 0.546
0.739 0.244 0.954
0.433 0.000 0.753
0.759 0.258 0.546
0.741 0.758 0.954
0.933 0.500 0.253
0.239 0.256 0.454
0.067 0.500 0.747
0.473 0.499 0.245
0.527 0.501 0.755
0.973 0.001 0.745
0.027 0.999 0.255
0.000 0.500 0.500
0.500 0.000 0.000